First-principles (PBE-GGA) data for a relaxed CeScPdRh crystal, as listed in Alexandria via LeMat-Bulk.

Cell and atoms, written as POSCAR:
```
CeScPdRh
1.0
4.836 0.000 0.000
2.418 4.188 0.000
2.418 1.396 3.949
Rh Ce Pd Sc
1 1 1 1
Direct
0.250 0.250 0.250
0.500 0.500 0.500
0.750 0.750 0.750
0.000 0.000 0.000
```

Output
The formation enthalpy at 0 K is -0.714 eV per atom. For the final energy, the calculation gives -6.92 eV/atom. The density of states at the Fermi level is 2.024 states/eV/atom. Its spin magnetization is 0.201 μB/atom. The space-group type is F-43m, No. 216.


First-principles (PBE-GGA) data for a relaxed Tl6BrCl2F3 crystal, as listed in Alexandria via LeMat-Bulk.

Cell and atoms, written as POSCAR:
```
Tl6BrCl2F3
1.0
-3.845 0.401 -1.913
-3.764 -3.984 6.731
1.710 8.946 3.299
F Cl Tl Br
3 2 6 1
Direct
0.836 0.179 0.672
0.500 0.500 0.000
0.164 0.821 0.328
0.168 0.325 0.336
0.832 0.675 0.664
0.679 0.063 0.357
0.990 0.281 0.979
0.010 0.719 0.021
0.658 0.601 0.317
0.342 0.399 0.683
0.321 0.937 0.643
0.500 0.000 0.000
```

Output
For the final energy, the calculation gives -3.42 eV/atom. The density of states at the Fermi level is 0.000 states/eV/atom. Its spin magnetization is 0.000 μB/atom. For the uncorrected formation energy, the calculation gives -1.321 eV per atom. The space-group type is C2/m, No. 12.


First-principles (PBE-GGA) data for a relaxed NaAgS2 crystal, as listed in Alexandria via LeMat-Bulk.

Cell and atoms, written as POSCAR:
```
NaAgS2
1.0
1.928 0.000 8.729
-0.964 1.670 8.729
-0.964 -1.670 8.729
S Ag Na
2 1 1
Direct
0.089 0.089 0.089
0.911 0.911 0.911
0.000 0.000 0.000
0.500 0.500 0.500
```

Output
For the final energy, the calculation gives -3.08 eV/atom. The value obtained for the relative energy among the computed polymorphs is 0.120 eV per atom. The density of states at the Fermi level is 0.689 states/eV/atom. Its spin magnetization is 0.000 μB/atom. For the uncorrected formation energy, the calculation gives 0.029 eV per atom. The space-group type is R-3m, No. 166.


Question: Which of these has the lowest final energy?
Answer: CeScPdRh


Question: The highest final energy belongs to which entry?
Answer: NaAgS2


Copy entry 1 word for word.
First-principles (PBE-GGA) data for a relaxed CeScPdRh crystal, as listed in Alexandria via LeMat-Bulk.

Cell and atoms, written as POSCAR:
```
CeScPdRh
1.0
4.836 0.000 0.000
2.418 4.188 0.000
2.418 1.396 3.949
Rh Ce Pd Sc
1 1 1 1
Direct
0.250 0.250 0.250
0.500 0.500 0.500
0.750 0.750 0.750
0.000 0.000 0.000
```

Output
The formation enthalpy at 0 K is -0.714 eV per atom. For the final energy, the calculation gives -6.92 eV/atom. The density of states at the Fermi level is 2.024 states/eV/atom. Its spin magnetization is 0.201 μB/atom. The space-group type is F-43m, No. 216.


Repeat the third record exactly.
First-principles (PBE-GGA) data for a relaxed NaAgS2 crystal, as listed in Alexandria via LeMat-Bulk.

Cell and atoms, written as POSCAR:
```
NaAgS2
1.0
1.928 0.000 8.729
-0.964 1.670 8.729
-0.964 -1.670 8.729
S Ag Na
2 1 1
Direct
0.089 0.089 0.089
0.911 0.911 0.911
0.000 0.000 0.000
0.500 0.500 0.500
```

Output
For the final energy, the calculation gives -3.08 eV/atom. The value obtained for the relative energy among the computed polymorphs is 0.120 eV per atom. The density of states at the Fermi level is 0.689 states/eV/atom. Its spin magnetization is 0.000 μB/atom. For the uncorrected formation energy, the calculation gives 0.029 eV per atom. The space-group type is R-3m, No. 166.